No. 1
Here is a relaxed ScZn2Cl crystal from the Alexandria database. Energies are from GGA-PBE.

Cell: 4.9171 4.9171 4.9171 Å, 60.00 60.00 60.00°
Closest atoms and distances in Å follow each position.
Fractional positions:
Sc 0.0000 0.0000 0.0000  8 Zn 3.01
Zn 0.2500 0.2500 0.2500  4 Cl 3.01, 4 Sc 3.01
Zn 0.7500 0.7500 0.7500  4 Cl 3.01, 4 Sc 3.01
Cl 0.5000 0.5000 0.5000  8 Zn 3.01

Properties
Space group: Fm-3m, No. 225
Crystal system: cubic
Mass density (g/cm3): 4.17
Formation energy without anion corrections (eV/f.u.): 0.53
Distance to the lowest polymorph of the same formula (meV per atom): 693

***

No. 2
Here is a relaxed Sc2ZnCl crystal from the Alexandria database. Energies are from GGA-PBE.

Cell: 9.6511 9.6511 9.6511 Å, 20.11 20.11 20.11°
Closest atoms and distances in Å follow each position.
Fractional positions:
Sc 0.0000 0.0000 0.0000  3 Cl 2.61
Sc 0.2441 0.2441 0.2441  3 Zn 2.88, 3 Sc 3.19
Zn 0.5024 0.5024 0.5024  3 Sc 2.88
Cl 0.7280 0.7280 0.7280  3 Sc 2.61

Properties
Space group: R3m, No. 160
Crystal system: trigonal
Mass density (g/cm3): 3.41
Formation energy without anion corrections (eV/f.u.): -2.33
Distance to the lowest polymorph of the same formula (meV per atom): 143

***

No. 3
Here is a relaxed ScZnCl2 crystal from the Alexandria database. Energies are from GGA-PBE.

Cell: 10.4576 10.4576 10.4576 Å, 19.42 19.42 19.42°
Closest atoms and distances in Å follow each position.
Fractional positions:
Sc 0.0000 0.0000 0.0000  6 Cl 2.58
Zn 0.5000 0.5000 0.5000  6 Zn 3.53
Cl 0.2821 0.2821 0.2821  3 Sc 2.58
Cl 0.7179 0.7179 0.7179  3 Sc 2.58

Properties
Space group: R-3m, No. 166
Crystal system: trigonal
Mass density (g/cm3): 2.72
Formation energy without anion corrections (eV/f.u.): -4.71
Distance to the lowest polymorph of the same formula (meV per atom): 6

***

No. 4
Here is a relaxed Sc2ZnCl crystal from the Alexandria database. Energies are from GGA-PBE.

Cell: 5.0604 5.0604 3.1409 Å, 98.67 98.67 91.19°
Closest atoms and distances in Å follow each position.
Fractional positions:
Sc 0.0000 0.5000 0.0000  2 Cl 2.77, 2 Zn 2.77
Sc 0.5000 0.0000 0.0000  2 Cl 2.77, 2 Zn 2.77
Zn 0.0000 0.0000 0.5000  4 Sc 2.77
Cl 0.5000 0.5000 0.5000  4 Sc 2.77

Properties
Space group: C2/m, No. 12
Crystal system: monoclinic
Mass density (g/cm3): 4.03
Formation energy without anion corrections (eV/f.u.): -1.99
Distance to the lowest polymorph of the same formula (meV per atom): 227

***

No. 5
Here is a relaxed ScZnCl2 crystal from the Alexandria database. Energies are from GGA-PBE.

Cell: 4.8376 4.8376 4.8376 Å, 60.00 60.00 60.00°
Closest atoms and distances in Å follow each position.
Fractional positions:
Sc 0.0000 0.0000 0.0000  8 Cl 2.96
Zn 0.5000 0.5000 0.5000  8 Cl 2.96
Cl 0.2500 0.2500 0.2500  4 Sc 2.96, 4 Zn 2.96
Cl 0.7500 0.7500 0.7500  4 Sc 2.96, 4 Zn 2.96

Properties
Space group: Fm-3m, No. 225
Crystal system: cubic
Mass density (g/cm3): 3.76
Formation energy without anion corrections (eV/f.u.): -2.85
Distance to the lowest polymorph of the same formula (meV per atom): 469

***

No. 6
Here is a relaxed Sc2ZnCl crystal from the Alexandria database. Energies are from GGA-PBE.

Cell: 3.2582 3.4225 7.5072 Å, 90.00 90.00 90.00°
Closest atoms and distances in Å follow each position.
Fractional positions:
Sc 0.0000 0.0000 0.2177  2 Cl 2.67, 4 Zn 2.87
Sc 0.0000 0.0000 0.7823  2 Cl 2.67, 4 Zn 2.87
Zn 0.5000 0.5000 0.0000  8 Sc 2.87
Cl 0.5000 0.0000 0.5000  4 Sc 2.67

Properties
Space group: Pmmm, No. 47
Crystal system: orthorhombic
Mass density (g/cm3): 3.78
Formation energy without anion corrections (eV/f.u.): -2.90
Distance to the lowest polymorph of the same formula (meV per atom): 0

***

No. 7
Here is a relaxed ScZnCl2 crystal from the Alexandria database. Energies are from GGA-PBE.

Cell: 4.9261 4.9261 4.9261 Å, 60.00 60.00 60.00°
Closest atoms and distances in Å follow each position.
Fractional positions:
Sc 0.0000 0.0000 0.0000  4 Cl 3.02, 4 Zn 3.02
Zn 0.7500 0.7500 0.7500  4 Cl 3.02, 4 Sc 3.02
Cl 0.2500 0.2500 0.2500  4 Cl 3.02, 4 Sc 3.02
Cl 0.5000 0.5000 0.5000  4 Zn 3.02, 4 Cl 3.02

Properties
Space group: F-43m, No. 216
Crystal system: cubic
Mass density (g/cm3): 3.56
Formation energy without anion corrections (eV/f.u.): -1.68
Distance to the lowest polymorph of the same formula (meV per atom): 762

***

No. 8
Here is a relaxed ScZn2Cl crystal from the Alexandria database. Energies are from GGA-PBE.

Cell: 6.2842 6.2842 6.2842 Å, 99.42 99.42 132.26°
Closest atoms and distances in Å follow each position.
Fractional positions:
Sc 0.0000 0.0000 0.0000  2 Cl 2.54
Sc 0.7500 0.2500 0.5000  2 Cl 2.54
Zn 0.1178 0.1250 0.4928  2 Zn 2.55
Zn 0.3750 0.8822 0.0072  2 Zn 2.55
Zn 0.6322 0.6250 0.5072  2 Zn 2.55
Zn 0.8750 0.3678 0.9928  2 Zn 2.55
Cl 0.2500 0.7500 0.5000  2 Sc 2.54
Cl 0.5000 0.5000 0.0000  2 Sc 2.54

Properties
Space group: I-42d, No. 122
Crystal system: tetragonal
Mass density (g/cm3): 4.18
Formation energy without anion corrections (eV/f.u.): -1.10
Distance to the lowest polymorph of the same formula (meV per atom): 284

***

- Which of these has the lowest distance to the lowest polymorph of the same formula?
  number 6